An optimized crystal structure of YZnFeO2. Source: Alexandria, functional PBE with a Hubbard U.

Properties
- Energy: -4.978 eV per atom
- Space group: P4/mmm (123)
- Mass density: 4.71 g cm⁻³
- Spin magnetization: 3.76 μB/cell

Cell and atoms, written as extended XYZ:
```
5
Lattice="3.949 0.000 0.000 0.000 3.949 0.000 0.000 0.000 5.475" Properties=species:S:1:pos:R:3 pbc="T T T"
Y 0.000 0.000 0.000
Zn 1.974 1.974 0.000
Fe 0.000 0.000 2.738
O 0.000 1.974 2.738
O 1.974 0.000 2.738
```